Crystalline K2YRh at its relaxed geometry. Source: Alexandria via LeMat-Bulk, functional PBE.

**Space-group type**: P4/mmm (123)
**Polymorph energy (0 for the lowest one)**: 813 meV/atom
**N(E_F)**: 6.3 states/eV per cell
**Electronic total energy**: -3.244 eV/atom

a b c (Å): 3.2480 3.2480 12.2011
angles (deg): 90.00 90.00 90.00
Closest atoms and distances in Å follow each position.
Fractional positions:
Rh1 0.5000 0.5000 0.2500  4 Rh 3.25, 8 K 3.28
K1 0.0000 0.0000 0.0584  4 K 3.25, 4 Rh 3.28
K2 0.0000 0.0000 0.4416  4 K 3.25, 4 Rh 3.28
Y1 0.5000 0.5000 0.7500  4 Y 3.25


Crystalline Cs3TlCu2I6 at its relaxed geometry. Source: Alexandria via LeMat-Bulk, functional PBE.

**Space-group type**: P-3m1 (164)
**Formation energy from raw total energies**: -0.88 eV per atom
**N(E_F)**: 0.0 states/eV per cell
**Electronic total energy**: -2.751 eV/atom

a b c (Å): 8.9052 8.9052 10.1564
angles (deg): 90.00 90.00 120.00
Closest atoms and distances in Å follow each position.
Fractional positions:
I1 0.3402 0.1701 0.7184  1 Cu 2.52
Cu1 0.6667 0.3333 0.7304  3 I 2.52
Cs1 0.0000 0.0000 0.0000  6 I 3.88
I2 0.8299 0.1701 0.7184  1 Cu 2.52
Cs2 0.3333 0.6667 0.6341  1 Cu 3.70
Cu2 0.3333 0.6667 0.2696  3 I 2.52
Cs3 0.6667 0.3333 0.3659  1 Cu 3.70
I3 0.1701 0.8299 0.2816  1 Cu 2.52
I4 0.1701 0.3402 0.2816  1 Cu 2.52
I5 0.8299 0.6598 0.7184  1 Cu 2.52
Tl1 0.0000 0.0000 0.5000  6 I 3.44
I6 0.6598 0.8299 0.2816  1 Cu 2.52


Crystalline Sm2Tm6In at its relaxed geometry. Source: Alexandria via LeMat-Bulk, functional PBE.

**Space-group type**: Immm (71)
**N(E_F)**: 10.2 states/eV per cell
**Electronic total energy**: -4.351 eV/atom

a b c (Å): 3.4535 10.0729 9.5070
angles (deg): 121.99 100.44 90.00
Closest atoms and distances in Å follow each position.
Fractional positions:
Sm1 0.8476 0.3480 0.6959  10 Tm 3.43-3.60, 2 Sm 3.45
In1 0.0000 0.0000 0.0000  8 Tm 3.24-3.44, 2 In 3.45
Tm1 0.5000 0.2959 0.0000  2 In 3.44, 6 Tm 3.45-3.55, 4 Sm 3.60
Tm2 0.5000 0.7041 0.0000  2 In 3.44, 6 Tm 3.45-3.55, 4 Sm 3.60
Tm3 0.1775 0.3394 0.3546  1 In 3.24, 7 Tm 3.27-3.55, 3 Sm 3.43-3.59
Tm4 0.1775 0.0152 0.3546  1 In 3.24, 7 Tm 3.27-3.55, 3 Sm 3.43-3.59
Tm5 0.8225 0.9848 0.6454  1 In 3.24, 7 Tm 3.27-3.55, 3 Sm 3.43-3.59
Sm2 0.1524 0.6520 0.3041  10 Tm 3.43-3.60, 2 Sm 3.45
Tm6 0.8225 0.6606 0.6454  1 In 3.24, 7 Tm 3.27-3.55, 3 Sm 3.43-3.59